Record 1
# PBE-GGA In2Sn2Hg, relaxed
data_In2Sn2Hg
_symmetry_space_group_name_H-M 'P 1'
_symmetry_Int_Tables_number 1
_cell_length_a 9.3445
_cell_length_b 9.3445
_cell_length_c 3.3089
_cell_angle_alpha 90.00
_cell_angle_beta 90.00
_cell_angle_gamma 90.00
loop_
_symmetry_equiv_pos_as_xyz
'x,y,z'
loop_
_atom_site_label
_atom_site_type_symbol
_atom_site_fract_x
_atom_site_fract_y
_atom_site_fract_z
In1 In 0.3376 0.8376 0.0000
In2 In 0.8376 0.6624 0.0000
In3 In 0.6624 0.1624 0.0000
In4 In 0.1624 0.3376 0.0000
Hg1 Hg 0.0000 0.0000 0.0000
Hg2 Hg 0.5000 0.5000 0.0000
Sn1 Sn 0.1326 0.6326 0.5000
Sn2 Sn 0.6326 0.8674 0.5000
Sn3 Sn 0.8674 0.3674 0.5000
Sn4 Sn 0.3674 0.1326 0.5000
# Total magnetic moment in μB/cell: 0.00
# Energy above the lowest structure with this stoichiometry in meV/atom: 28.4
# Formation energy from the elements in kJ per mole of atoms: 8
# DOS at the Fermi energy in states/eV per cell: 4.92
# SG: P4/mbm
# Total DFT energy (no corrections) in eV per atom: -2.679

***

Record 2
# PBE-GGA CaScGa4, relaxed
data_CaScGa4
_symmetry_space_group_name_H-M 'P 1'
_symmetry_Int_Tables_number 1
_cell_length_a 5.4611
_cell_length_b 5.4611
_cell_length_c 5.4611
_cell_angle_alpha 60.00
_cell_angle_beta 60.00
_cell_angle_gamma 60.00
loop_
_symmetry_equiv_pos_as_xyz
'x,y,z'
loop_
_atom_site_label
_atom_site_type_symbol
_atom_site_fract_x
_atom_site_fract_y
_atom_site_fract_z
Sc1 Sc 0.0000 0.0000 0.0000
Ca1 Ca 0.2500 0.2500 0.2500
Ga1 Ga 0.6254 0.6254 0.1238
Ga2 Ga 0.6254 0.1238 0.6254
Ga3 Ga 0.6254 0.6254 0.6254
Ga4 Ga 0.1238 0.6254 0.6254
# Total magnetic moment in μB/cell: 0.00
# Energy above the lowest structure with this stoichiometry in meV/atom: 74.8
# Formation energy from the elements in kJ per mole of atoms: -41
# DOS at the Fermi energy in states/eV per cell: 4.54
# SG: F-43m
# Total DFT energy (no corrections) in eV per atom: -3.833